No. 1
Density functional theory data (PBE) for crystalline Na2MnCS at its relaxed geometry.

a = 5.5330 Å, b = 5.5330 Å, c = 4.0598 Å
α = 90.00°, β = 90.00°, γ = 90.00°
Element x y z (fractional)
1 Na 0.0000 0.5000 0.0000
2 Na 0.5000 0.0000 0.0000
3 Mn 0.0000 0.0000 0.0000
4 C 0.5000 0.5000 0.5000
5 S 0.0000 0.0000 0.5000

Properties
M_tot = 0.4 μB per formula unit
symmetry = No. 123
formation energy from raw total energies = 7.532 eV per formula unit
energy above the lowest structure with this stoichiometry = 860.3 meV/atom
VASP energy = -3.5254 eV per atom



No. 2
Density functional theory data (PBE) for crystalline Ho3CuPt at its relaxed geometry.

a = 3.7716 Å, b = 6.9947 Å, c = 9.4236 Å
α = 90.00°, β = 90.00°, γ = 90.00°
Element x y z (fractional)
1 Ho 0.2500 0.0084 0.1848
2 Ho 0.2500 0.2500 0.5517
3 Ho 0.2500 0.4916 0.1848
4 Ho 0.7500 0.5084 0.8152
5 Ho 0.7500 0.7500 0.4483
6 Ho 0.7500 0.9916 0.8152
7 Cu 0.2500 0.2500 0.9320
8 Cu 0.7500 0.7500 0.0680
9 Pt 0.2500 0.7500 0.6662
10 Pt 0.7500 0.2500 0.3338

Properties
M_tot = 0.0 μB per formula unit
energy of formation = -547 meV per atom
symmetry = No. 59
VASP energy = -5.3209 eV per atom



No. 3
Density functional theory data (PBE) for crystalline Ti3Zn4Cd at its relaxed geometry.

a = 4.2493 Å, b = 4.2493 Å, c = 7.1297 Å
α = 90.00°, β = 90.00°, γ = 90.00°
Element x y z (fractional)
1 Ti 0.0000 0.0000 0.0000
2 Ti 0.0000 0.0000 0.5000
3 Ti 0.5000 0.5000 0.0000
4 Zn 0.0000 0.5000 0.2468
5 Zn 0.0000 0.5000 0.7532
6 Zn 0.5000 0.0000 0.2468
7 Zn 0.5000 0.0000 0.7532
8 Cd 0.5000 0.5000 0.5000

Properties
M_tot = 0.0 μB per formula unit
energy of formation = -105 meV per atom
symmetry = No. 123
VASP energy = -3.8166 eV per atom



No. 4
Density functional theory data (PBE) for crystalline Nd7TmIn2 at its relaxed geometry.

a = 9.3140 Å, b = 9.3140 Å, c = 5.3946 Å
α = 90.00°, β = 90.00°, γ = 119.70°
Element x y z (fractional)
1 Nd 0.0000 0.0000 0.0000
2 Nd 0.1986 0.4382 0.0000
3 Nd 0.2777 0.7223 0.5000
4 Nd 0.4382 0.1986 0.0000
5 Nd 0.5618 0.8014 0.0000
6 Nd 0.7223 0.2777 0.5000
7 Nd 0.8014 0.5618 0.0000
8 Tm 0.5000 0.5000 0.5000
9 In 0.1950 0.8050 0.0000
10 In 0.8050 0.1950 0.0000

Properties
M_tot = 0.0 μB per formula unit
energy of formation = 318 meV per atom
symmetry = No. 65
VASP energy = -4.0142 eV per atom



No. 5
Density functional theory data (PBE) for crystalline Mg2AlCl at its relaxed geometry.

a = 3.2422 Å, b = 4.7679 Å, c = 5.7586 Å
α = 90.00°, β = 90.00°, γ = 90.00°
Element x y z (fractional)
1 Mg 0.0000 0.0000 0.0000
2 Mg 0.5000 0.5000 0.4275
3 Al 0.0000 0.0000 0.5044
4 Cl 0.5000 0.5000 0.9843

Properties
M_tot = 0.0 μB per formula unit
symmetry = No. 25
formation energy from raw total energies = -1.285 eV per formula unit
energy above the lowest structure with this stoichiometry = 176.5 meV/atom
VASP energy = -2.5160 eV per atom



No. 6
Density functional theory data (PBE) for crystalline TbCe2Lu at its relaxed geometry.

a = 4.8930 Å, b = 4.8930 Å, c = 5.0044 Å
α = 90.00°, β = 90.00°, γ = 90.00°
Element x y z (fractional)
1 Tb 0.0000 0.0000 0.0000
2 Ce 0.0000 0.5000 0.5000
3 Ce 0.5000 0.0000 0.5000
4 Lu 0.5000 0.5000 0.0000

Properties
M_tot = 1.6 μB per formula unit
energy of formation = 101 meV per atom
symmetry = No. 123
energy above the lowest structure with this stoichiometry = 15.4 meV/atom
VASP energy = -5.1533 eV per atom



No. 7
Density functional theory data (PBE) for crystalline YMgTeI2 at its relaxed geometry.

a = 5.4634 Å, b = 5.4634 Å, c = 5.7352 Å
α = 90.00°, β = 90.00°, γ = 90.00°
Element x y z (fractional)
1 Y 0.0000 0.0000 0.0000
2 Mg 0.5000 0.5000 0.5000
3 Te 0.5000 0.5000 0.0000
4 I 0.0000 0.5000 0.5000
5 I 0.5000 0.0000 0.5000

Properties
M_tot = 0.7 μB per formula unit
symmetry = No. 123
formation energy from raw total energies = -2.146 eV per formula unit
energy above the lowest structure with this stoichiometry = 202.4 meV/atom
VASP energy = -3.2893 eV per atom



No. 8
Density functional theory data (PBE) for crystalline Sc2HgPt at its relaxed geometry.

a = 6.2037 Å, b = 6.2037 Å, c = 6.2037 Å
α = 106.55°, β = 106.55°, γ = 115.49°
Element x y z (fractional)
1 Sc 0.0909 0.1250 0.4659
2 Sc 0.3750 0.9091 0.0341
3 Sc 0.6591 0.6250 0.5341
4 Sc 0.8750 0.3409 0.9659
5 Hg 0.2500 0.7500 0.5000
6 Hg 0.5000 0.5000 0.0000
7 Pt 0.0000 0.0000 0.0000
8 Pt 0.7500 0.2500 0.5000

Properties
M_tot = 0.0 μB per formula unit
energy of formation = -424 meV per atom
symmetry = No. 122
VASP energy = -5.1751 eV per atom